(1)
Below is crystalline GdHgPtRh at its relaxed geometry, with properties calculated at the GGA-PBE level.

Unit cell a=4.780 b=4.780 c=4.780 alpha=60.00 beta=60.00 gamma=60.00
Last column: magnetic moment on the atom in μB.
Fractional coordinates of all 4 atoms:
Gd 0.000 0.000 0.000  -6.98
Rh 0.250 0.250 0.250  0.03
Hg 0.500 0.500 0.500  0.00
Pt 0.750 0.750 0.750  0.01

Calculated values
The calculation puts the formation energy at -2.28 eV per formula unit. Its symmetry is F-43m. Its calculated total energy is -7.51 eV/atom. The density of states at the Fermi level is 0.54 states/eV per atom.

---

(2)
Below is crystalline PaTi2Zn at its relaxed geometry, with properties calculated at the GGA-PBE level.

Unit cell a=4.674 b=4.674 c=4.674 alpha=60.00 beta=60.00 gamma=60.00
Last column: magnetic moment on the atom in μB.
Fractional coordinates of all 4 atoms:
Zn 0.500 0.500 0.500  0.00
Pa 0.000 0.000 0.000  0.51
Ti 0.250 0.250 0.250  0.30
Ti 0.750 0.750 0.750  0.30

Calculated values
The calculation puts the formation energy at 0.42 eV per formula unit. Its symmetry is Fm-3m. Its calculated total energy is -6.54 eV/atom. The density of states at the Fermi level is 1.84 states/eV per atom.

---

(3)
Below is crystalline AgSbP3 at its relaxed geometry, with properties calculated at the GGA-PBE level.

Unit cell a=4.813 b=4.813 c=4.813 alpha=90.00 beta=90.00 gamma=90.00
Fractional coordinates of all 5 atoms:
Sb 0.500 0.500 0.500
Ag 0.000 0.000 0.000
P 0.000 0.500 0.000
P 0.000 0.000 0.500
P 0.500 0.000 0.000

Calculated values
The uncorrected formation energy is 1.10 eV/atom. Its symmetry is Pm-3m. Its calculated total energy is -3.54 eV/atom. The density of states at the Fermi level is 1.10 states/eV per atom.

---

(4)
Below is crystalline LaYTeI at its relaxed geometry, with properties calculated at the GGA-PBE level.

Unit cell a=5.472 b=5.472 c=5.472 alpha=60.00 beta=60.00 gamma=60.00
Fractional coordinates of all 4 atoms:
I 0.500 0.500 0.500
Y 0.750 0.750 0.750
Te 0.000 0.000 0.000
La 0.250 0.250 0.250

Calculated values
The uncorrected formation energy is -1.08 eV/atom. Its symmetry is F-43m. Its calculated total energy is -5.10 eV/atom. The density of states at the Fermi level is 0.95 states/eV per atom.

---

(5)
Below is crystalline OsPtSN2 at its relaxed geometry, with properties calculated at the GGA-PBE level.

Unit cell a=3.643 b=3.643 c=8.184 alpha=90.00 beta=90.00 gamma=90.00
Last column: magnetic moment on the atom in μB.
Fractional coordinates of all 5 atoms:
S 0.000 0.000 0.500  0.06
Os 0.500 0.500 0.500  1.82
Pt 0.000 0.000 0.000  0.00
N 0.000 0.500 0.000  -0.01
N 0.500 0.000 0.000  -0.01

Calculated values
The uncorrected formation energy is 1.79 eV/atom. Its symmetry is P4/mmm. Its calculated total energy is -5.82 eV/atom. The density of states at the Fermi level is 0.79 states/eV per atom.

---

(6)
Below is crystalline EuDyTlGa at its relaxed geometry, with properties calculated at the GGA-PBE level.

Unit cell a=5.346 b=5.346 c=5.346 alpha=60.00 beta=60.00 gamma=60.00
Last column: magnetic moment on the atom in μB.
Fractional coordinates of all 4 atoms:
Eu 0.000 0.000 0.000  6.83
Tl 0.250 0.250 0.250  0.01
Ga 0.750 0.750 0.750  0.00
Dy 0.500 0.500 0.500  0.09

Calculated values
The calculation puts the formation energy at -1.58 eV per formula unit. Its symmetry is F-43m. Its calculated total energy is -5.46 eV/atom. The density of states at the Fermi level is 1.70 states/eV per atom.

---

(7)
Below is crystalline Ti2VNi2 at its relaxed geometry, with properties calculated at the GGA-PBE level.

Unit cell a=7.007 b=7.007 c=2.840 alpha=90.00 beta=90.00 gamma=90.00
Last column: magnetic moment on the atom in μB.
Fractional coordinates of all 10 atoms:
Ni 0.136 0.636 0.500  0.04
Ni 0.636 0.864 0.500  0.04
Ni 0.864 0.364 0.500  0.04
Ni 0.364 0.136 0.500  0.04
V 0.000 0.000 0.000  1.03
V 0.500 0.500 0.000  1.03
Ti 0.338 0.838 0.000  -0.04
Ti 0.838 0.662 0.000  -0.04
Ti 0.662 0.162 0.000  -0.04
Ti 0.162 0.338 0.000  -0.04

Calculated values
The calculation puts the formation energy at -0.58 eV per formula unit. Its symmetry is P4/mbm. Its calculated total energy is -7.41 eV/atom. The density of states at the Fermi level is 0.74 states/eV per atom.

---

(8)
Below is crystalline CdHgF2 at its relaxed geometry, with properties calculated at the GGA-PBE level.

Unit cell a=4.511 b=4.511 c=4.511 alpha=60.00 beta=60.00 gamma=60.00
Fractional coordinates of all 4 atoms:
F 0.250 0.250 0.250
F 0.750 0.750 0.750
Hg 0.500 0.500 0.500
Cd 0.000 0.000 0.000

Calculated values
The uncorrected formation energy is -1.09 eV/atom. Its symmetry is Fm-3m. Its calculated total energy is -2.33 eV/atom. The density of states at the Fermi level is 0.10 states/eV per atom.